LaAs2Se2: optimized geometry, PBE.

```
LaAs2Se2
1.0
7.819 0.000 0.000
0.000 7.819 0.000
0.000 0.000 4.286
La As Se
2 4 4
Cartesian
0.000 0.000 0.000
3.909 3.909 0.000
0.969 2.940 0.000
2.940 6.849 0.000
4.879 0.969 0.000
6.849 4.879 0.000
1.958 1.952 2.143
1.952 5.861 2.143
5.867 1.958 2.143
5.861 5.867 2.143
```

Values from the calculation:
The calculated volume comes out at 26.20 A^3/atom. As for the density of states at the Fermi level: 1.7 states/eV per cell. For the uncorrected formation energy, the calculation gives -0.63 eV per atom.